[1]
KLi2U3Se6 | Alexandria | PBE | optimized geometry; density of states at the Fermi level = 20.1 states/eV per cell; electronic total energy = -6.097 eV/atom
1.0
9.200 -2.051 0.000
9.200 2.051 0.000
-2.486 0.000 8.421
K Li U Se
1 2 3 6
Direct
0.000 0.000 0.000 K
0.336 0.336 0.617 Li
0.664 0.664 0.383 Li
0.000 0.000 0.500 U
0.333 0.333 0.172 U
0.667 0.667 0.828 U
0.169 0.169 0.587 Se
0.173 0.173 0.066 Se
0.500 0.500 0.272 Se
0.500 0.500 0.728 Se
0.827 0.827 0.934 Se
0.831 0.831 0.413 Se

[2]
CsNa8Cd4 | Alexandria | PBE | optimized geometry; density of states at the Fermi level = 5.8 states/eV per cell; electronic total energy = -1.214 eV/atom
1.0
-5.815 5.815 3.155
5.815 -5.815 3.155
5.815 5.815 -3.155
Cs Na Cd
1 8 4
Direct
0.000 0.000 0.000 Cs
0.000 0.347 0.347 Na
0.000 0.653 0.653 Na
0.273 0.500 0.773 Na
0.347 0.000 0.347 Na
0.500 0.273 0.773 Na
0.500 0.727 0.227 Na
0.653 0.000 0.653 Na
0.727 0.500 0.227 Na
0.000 0.000 0.500 Cd
0.000 0.500 0.000 Cd
0.500 0.000 0.000 Cd
0.500 0.500 0.500 Cd